(1)
K2LiCdBr6 PBE optimized geometry; calculated volume = 313.96 Å³/f.u.
1.0
0.000 5.394 5.394
5.394 0.000 5.394
5.394 5.394 0.000
K Li Cd Br
2 1 1 6
Direct
0.250 0.250 0.250 K
0.750 0.750 0.750 K
0.000 0.000 0.000 Li
0.500 0.500 0.500 Cd
0.245 0.245 0.755 Br
0.245 0.755 0.245 Br
0.245 0.755 0.755 Br
0.755 0.245 0.245 Br
0.755 0.245 0.755 Br
0.755 0.755 0.245 Br

---

(2)
Al17Co12 PBE optimized geometry; total moment = 5.62 μB per formula unit; distance to the lowest polymorph of the same formula = 0 meV/atom; calculated volume = 365.16 Å³/f.u.
1.0
-4.503 4.503 4.503
4.503 -4.503 4.503
4.503 4.503 -4.503
Al Co
17 12
Direct
0.000 0.000 0.000 Al
0.000 0.000 0.661 Al
0.000 0.403 0.686 Al
0.000 0.661 0.000 Al
0.000 0.686 0.403 Al
0.283 0.597 0.597 Al
0.314 0.314 0.717 Al
0.314 0.717 0.314 Al
0.339 0.339 0.339 Al
0.403 0.000 0.686 Al
0.403 0.686 0.000 Al
0.597 0.283 0.597 Al
0.597 0.597 0.283 Al
0.661 0.000 0.000 Al
0.686 0.000 0.403 Al
0.686 0.403 0.000 Al
0.717 0.314 0.314 Al
0.000 0.192 0.377 Co
0.000 0.377 0.192 Co
0.185 0.808 0.808 Co
0.192 0.000 0.377 Co
0.192 0.377 0.000 Co
0.377 0.000 0.192 Co
0.377 0.192 0.000 Co
0.623 0.623 0.815 Co
0.623 0.815 0.623 Co
0.808 0.185 0.808 Co
0.808 0.808 0.185 Co
0.815 0.623 0.623 Co

---

It is found that the calculated total energy values, taken in the order of the records, are -2.656; -5.441 eV/atom.